Material: Ni2Sb2Au
Method: DFT, GGA-PBE
State: relaxed

Computed properties:
Its space group is No. 63. Its total energy is -4.640 eV/atom.

Cell: 4.296 4.296 11.550 Å, 90.00 90.00 120.20°
Positions (direct):
Ni1 0.164 0.836 0.639
Ni2 0.164 0.836 0.861
Ni3 0.836 0.164 0.139
Ni4 0.836 0.164 0.361
Sb1 0.168 0.832 0.092
Sb2 0.168 0.832 0.408
Sb3 0.832 0.168 0.592
Sb4 0.832 0.168 0.908
Au1 0.497 0.503 0.750
Au2 0.503 0.497 0.250

---

Material: TaBTe
Method: DFT, GGA-PBE
State: relaxed

Computed properties:
As for the relative energy among the computed polymorphs: 139 meV/atom. Its space group is No. 216. Its total energy is -6.023 eV/atom.

Cell: 4.407 4.407 4.407 Å, 60.00 60.00 60.00°
Positions (direct):
Ta1 0.000 0.000 0.000
B1 0.750 0.750 0.750
Te1 0.250 0.250 0.250

---

Material: LuCoSnPd
Method: DFT, GGA-PBE
State: relaxed

Computed properties:
As for the relative energy among the computed polymorphs: 333 meV/atom. Its space group is No. 216. Its total energy is -5.417 eV/atom.

Cell: 4.684 4.684 4.684 Å, 60.00 60.00 60.00°
Positions (direct):
Lu1 0.000 0.000 0.000
Co1 0.500 0.500 0.500
Sn1 0.250 0.250 0.250
Pd1 0.750 0.750 0.750

---

no.,spin magnetization (μB/f.u.)
1,0.004
2,0.003
3,0.010